A plane-wave DFT calculation with PBE was carried out for crystalline Tm8Ga2Os at its relaxed geometry.

Values from the calculation:
For the volume, the calculation gives 278.0 Å³/cell. For the density of states at the Fermi level, the calculation gives 9.2 states/eV per cell. As for the space group: C2/m (12). As for the energy of formation from the pure elements: -0.30 eV/atom. The total magnetization comes out at 0.00 μB per cell. The value obtained for the calculated density is 10.04 g/cm³. The calculation puts the total DFT energy (no corrections) at -5.125 eV per atom.

Cell: 5.017 6.753 9.072 Å, 108.98 106.05 90.00°
Atoms (fractional coordinates):
Tm 0.021 0.789 0.042
Tm 0.344 0.041 0.688
Tm 0.592 0.435 0.184
Tm 0.201 0.302 0.403
Os 0.500 0.000 0.000
Tm 0.656 0.959 0.312
Tm 0.799 0.698 0.597
Tm 0.979 0.211 0.958
Ga 0.180 0.707 0.360
Tm 0.408 0.565 0.816
Ga 0.820 0.293 0.640